## Co2HgBr2 (GGA-PBE)

Data for Co2HgBr2 after structural relaxation.

a b c (Å): 3.721 3.721 19.203
angles (deg): 90.00 90.00 90.00
Space group I4/mmm (No. 139)
Inequivalent atoms, fractional coordinates:
Co: 0.000 0.500 0.250 (multiplicity 4)
Hg: 0.000 0.000 0.000 (multiplicity 2)
Br: 0.000 0.000 0.333 (multiplicity 4)

The offset from the most stable computed form comes out at 0.000 eV per formula unit. As for the formation energy from raw total energies: 103 meV/atom. For the density of states at the Fermi level, the calculation gives 4.9 states/eV/f.u. The calculation puts the volume at 26.59 A^3/atom. The value obtained for the magnetization is 0.800 μB per atom.



## CoHgBr2 (GGA-PBE)

Data for CoHgBr2 after structural relaxation.

a b c (Å): 12.550 3.463 6.568
angles (deg): 90.00 120.52 90.00
Space group Cm (No. 8)
Inequivalent atoms, fractional coordinates:
Co: 0.000 0.000 0.000 (multiplicity 2)
Hg: 0.279 0.500 0.000 (multiplicity 2)
Br: 0.088 0.500 0.286 (multiplicity 2)
Br: 0.435 0.000 0.714 (multiplicity 2)

The offset from the most stable computed form comes out at 0.319 eV per formula unit. As for the formation energy from raw total energies: -98 meV/atom. For the density of states at the Fermi level, the calculation gives 4.3 states/eV/f.u. The calculation puts the volume at 30.73 A^3/atom. The value obtained for the magnetization is 0.339 μB per atom.



## CoHgBr2 (GGA-PBE)

Data for CoHgBr2 after structural relaxation.

a b c (Å): 4.124 3.483 9.626
angles (deg): 90.00 95.56 90.00
Space group P2/m (No. 10)
Inequivalent atoms, fractional coordinates:
Co: 0.000 0.000 0.000 (multiplicity 1)
Hg: 0.500 0.000 0.500 (multiplicity 1)
Br: 0.094 0.500 0.835 (multiplicity 2)

The offset from the most stable computed form comes out at 0.469 eV per formula unit. As for the formation energy from raw total energies: -61 meV/atom. For the density of states at the Fermi level, the calculation gives 4.9 states/eV/f.u. The calculation puts the volume at 34.40 A^3/atom. The value obtained for the magnetization is 0.581 μB per atom.



## CoHgBr2 (GGA-PBE)

Data for CoHgBr2 after structural relaxation.

a b c (Å): 3.7661 3.7661 24.9521
angles (deg): 90.00 90.00 120.00
Space group R3m (No. 160, hexagonal axes)
Inequivalent atoms, fractional coordinates:
Co: 0.0000 0.0000 0.0000 (multiplicity 3)
Hg: 0.0000 0.0000 0.2624 (multiplicity 3)
Br: 0.0000 0.0000 0.5211 (multiplicity 3)
Br: 0.0000 0.0000 0.7113 (multiplicity 3)

The offset from the most stable computed form comes out at 0.654 eV per formula unit. As for the formation energy from raw total energies: -15 meV/atom. For the density of states at the Fermi level, the calculation gives 5.0 states/eV/f.u. The calculation puts the volume at 25.54 A^3/atom. The value obtained for the magnetization is 0.407 μB per atom.



> Among the records above, which one has the lowest offset from the most stable computed form?

Co2HgBr2



> offset from the most stable computed form of number 3 (CoHgBr2)?

0.469 eV per formula unit